## Mn2CuTc (PBE)

Data for a relaxed Mn2CuTc crystal.

```
Mn2CuTc
1.0
6.585 0.000 0.000
0.000 6.585 0.000
3.292 3.292 2.577
Tc Cu Mn
2 2 4
Direct
0.000 0.000 0.000
0.750 0.250 0.500
0.250 0.750 0.500
0.500 0.500 0.000
0.875 0.885 0.750
0.375 0.365 0.750
0.635 0.125 0.250
0.115 0.625 0.250
```

Computed properties:
- D(E_F) (states/eV per atom) = 1.39
- ΔE_f (eV per atom) = 0.674
- mass density (kg/m3) = 8069
- uncorrected energy (eV/atom) = -7.5266

## Cs2NaZr (PBE)

Data for a relaxed Cs2NaZr crystal.

```
Cs2NaZr
1.0
0.000 4.809 4.809
4.809 0.000 4.809
4.809 4.809 0.000
Zr Cs Na
1 2 1
Direct
0.500 0.500 0.500
0.250 0.250 0.250
0.750 0.750 0.750
0.000 0.000 0.000
```

Computed properties:
- D(E_F) (states/eV per atom) = 0.54
- ΔE_f (eV per atom) = 1.033
- mass density (kg/m3) = 2837
- uncorrected energy (eV/atom) = -1.8602

## LaRe2P (PBE)

Data for a relaxed LaRe2P crystal.

```
LaRe2P
1.0
-3.736 -0.030 2.922
-0.926 -4.486 -1.231
2.492 -4.938 6.986
Re La P
4 2 2
Direct
0.317 0.625 0.250
0.433 0.125 0.250
0.875 0.683 0.750
0.375 0.567 0.750
0.000 0.000 0.000
0.750 0.250 0.500
0.500 0.500 0.000
0.250 0.750 0.500
```

Computed properties:
- D(E_F) (states/eV per atom) = 0.92
- ΔE_f (eV per atom) = 0.177
- mass density (kg/m3) = 9696
- uncorrected energy (eV/atom) = -8.6313

## CeHoAsP (PBE)

Data for a relaxed CeHoAsP crystal.

```
CeHoAsP
1.0
4.097 0.000 0.000
2.049 3.549 0.000
2.049 1.183 6.683
P Ce Ho As
1 1 1 1
Direct
0.248 0.248 0.255
0.997 0.997 0.008
0.503 0.503 0.492
0.752 0.752 0.745
```

Computed properties:
- D(E_F) (states/eV per atom) = 1.26
- ΔE_f (eV per atom) = -1.514
- mass density (kg/m3) = 7023
- uncorrected energy (eV/atom) = -6.6570

## ScZn2Ag4 (PBE)

Data for a relaxed ScZn2Ag4 crystal.

```
ScZn2Ag4
1.0
-0.827 2.537 5.131
-4.850 -0.575 2.762
1.309 -2.639 4.775
Zn Ag Sc
2 4 1
Direct
0.000 0.500 0.500
0.500 0.500 0.500
0.500 0.500 0.000
0.000 0.000 0.500
0.000 0.500 0.000
0.500 0.000 0.500
0.000 0.000 0.000
```

Computed properties:
- D(E_F) (states/eV per atom) = 0.31
- ΔE_f (eV per atom) = 0.069
- mass density (kg/m3) = 7542
- uncorrected energy (eV/atom) = -2.8285

## CdBiSbI (PBE)

Data for a relaxed CdBiSbI crystal.

```
CdBiSbI
1.0
5.956 0.000 0.000
2.978 3.336 0.062
2.978 1.209 6.941
Bi I Sb Cd
1 1 1 1
Direct
0.469 0.698 0.364
0.155 0.731 0.959
0.843 0.803 0.510
0.661 0.756 0.921
```

Computed properties:
- D(E_F) (states/eV per atom) = 0.27
- E_form (uncorrected) (eV/atom) = -0.0916
- mass density (kg/m3) = 6886
- uncorrected energy (eV/atom) = -2.7087

## Tm7Al2Tc2 (PBE)

Data for a relaxed Tm7Al2Tc2 crystal.

```
Tm7Al2Tc2
1.0
6.376 -0.002 -1.128
0.003 7.363 0.003
-1.523 -0.002 6.293
Tm Tc Al
7 2 2
Direct
0.500 0.276 0.000
0.500 0.772 0.500
0.500 0.724 0.000
0.000 0.276 0.500
0.500 0.228 0.500
0.000 0.724 0.500
0.000 0.000 0.000
0.298 0.000 0.702
0.702 0.000 0.298
0.178 0.500 0.178
0.822 0.500 0.822
```

Computed properties:
- D(E_F) (states/eV per atom) = 0.54
- ΔE_f (eV per atom) = -0.039
- mass density (kg/m3) = 8413
- uncorrected energy (eV/atom) = -5.4501

## MgTa2Co (PBE)

Data for a relaxed MgTa2Co crystal.

```
MgTa2Co
1.0
-1.278 0.460 3.941
-1.068 -3.792 0.096
3.596 -0.981 1.280
Mg Co Ta
1 1 2
Direct
0.500 0.000 0.500
0.500 0.500 0.000
0.000 0.000 0.000
0.000 0.500 0.500
```

Computed properties:
- D(E_F) (states/eV per atom) = 1.01
- ΔE_f (eV per atom) = 0.260
- mass density (kg/m3) = 11418
- uncorrected energy (eV/atom) = -7.8413